# 1
An optimized crystal structure of BaHfTe2, computed with PBE.

a b c (Å): 7.101 7.101 8.681
angles (deg): 65.86 65.86 90.00
Site moments in Bohr magnetons follow the coordinates.
Fractional coordinates of all 8 atoms:
Te: 0.701 0.125 0.250  -0.02
Te: 0.049 0.625 0.250  -0.02
Te: 0.375 0.299 0.750  -0.02
Te: 0.875 0.951 0.750  -0.02
Hf: 0.000 0.000 0.000  0.66
Hf: 0.750 0.250 0.500  0.65
Ba: 0.500 0.500 0.000  0.07
Ba: 0.250 0.750 0.500  0.07

Output
E_form (uncorrected): -0.61 eV per atom
SG: No. 122
E_tot: -5.1451 eV/atom
total moment: 2.77 μB per cell
energy above the most stable polymorph in this dataset: 84 meV per atom



# 2
An optimized crystal structure of BaHf4Te8, computed with PBE.

a b c (Å): 8.022 8.022 9.709
angles (deg): 65.60 65.60 60.00
Fractional coordinates of all 13 atoms:
Ba: 0.500 0.500 0.500
Hf: 0.000 0.500 0.000
Hf: 0.500 0.500 0.000
Hf: 0.500 0.000 0.000
Hf: 0.000 0.000 0.000
Te: 0.741 0.232 0.794
Te: 0.768 0.259 0.206
Te: 0.259 0.768 0.206
Te: 0.768 0.768 0.206
Te: 0.735 0.735 0.795
Te: 0.265 0.265 0.205
Te: 0.232 0.232 0.794
Te: 0.232 0.741 0.794

Output
E_form (uncorrected): -0.95 eV per atom
SG: No. 166
E_tot: -6.0929 eV/atom
total moment: 0.00 μB per cell
energy above the most stable polymorph in this dataset: 0 meV per atom



# 3
An optimized crystal structure of BaHfTe2, computed with PBE.

a b c (Å): 5.507 5.507 5.507
angles (deg): 60.00 60.00 60.00
Site moments in Bohr magnetons follow the coordinates.
Fractional coordinates of all 4 atoms:
Te: 0.250 0.250 0.250  -0.05
Te: 0.750 0.750 0.750  -0.05
Hf: 0.500 0.500 0.500  1.02
Ba: 0.000 0.000 0.000  0.12

Output
E_form (uncorrected): -0.61 eV per atom
SG: No. 225
E_tot: -5.1484 eV/atom
total moment: 1.87 μB per cell
energy above the most stable polymorph in this dataset: 81 meV per atom



# 4
An optimized crystal structure of Ba2HfTe4, computed with PBE.

a b c (Å): 7.908 7.833 9.795
angles (deg): 90.00 108.24 90.00
Fractional coordinates of all 14 atoms:
Ba: 0.718 0.750 0.049
Ba: 0.282 0.250 0.951
Ba: 0.238 0.250 0.431
Ba: 0.762 0.750 0.569
Hf: 0.274 0.750 0.199
Hf: 0.726 0.250 0.801
Te: 0.512 0.488 0.264
Te: 0.094 0.750 0.914
Te: 0.906 0.250 0.086
Te: 0.512 0.012 0.264
Te: 0.927 0.250 0.621
Te: 0.488 0.988 0.736
Te: 0.488 0.512 0.736
Te: 0.073 0.750 0.379

Output
E_form (uncorrected): -1.31 eV per atom
SG: No. 11
E_tot: -5.0746 eV/atom
total moment: 0.00 μB per cell



- Number 1 is which compound?
  BaHfTe2



- E_tot of number 4 (Ba2HfTe4)?
  -5.0746 eV/atom